Entry 1:
VASP calculation (PBE) on crystalline Ac3DySn5 at its relaxed geometry.

Results
Space-group type: P6_3/mcm (193)

abc: 6.7515 9.9578 9.9578
angles: 120.00 90.00 90.00
Last column: nearest neighbours and their distance in Å.
Fractional coordinates of all 18 atoms:
Ac1 0.7500 0.3833 0.0000  9 Sn 3.40-3.55
Ac2 0.7500 0.6167 0.6167  9 Sn 3.40-3.55
Ac3 0.7500 0.0000 0.3833  9 Sn 3.40-3.55
Ac4 0.2500 0.6167 0.0000  9 Sn 3.40-3.55
Ac5 0.2500 0.3833 0.3833  9 Sn 3.40-3.55
Ac6 0.2500 0.0000 0.6167  9 Sn 3.40-3.55
Dy1 0.0000 0.0000 0.0000  6 Sn 3.20, 2 Dy 3.38
Dy2 0.5000 0.0000 0.0000  6 Sn 3.20, 2 Dy 3.38
Sn1 0.0000 0.3333 0.6667  2 Sn 3.38, 6 Ac 3.53
Sn2 0.5000 0.6667 0.3333  2 Sn 3.38, 6 Ac 3.53
Sn3 0.0000 0.6667 0.3333  2 Sn 3.38, 6 Ac 3.53
Sn4 0.5000 0.3333 0.6667  2 Sn 3.38, 6 Ac 3.53
Sn5 0.7500 0.7265 0.0000  2 Dy 3.20, 5 Ac 3.40-3.55
Sn6 0.7500 0.2735 0.2735  2 Dy 3.20, 5 Ac 3.40-3.55
Sn7 0.7500 0.0000 0.7265  2 Dy 3.20, 5 Ac 3.40-3.55
Sn8 0.2500 0.2735 0.0000  2 Dy 3.20, 5 Ac 3.40-3.55
Sn9 0.2500 0.7265 0.7265  2 Dy 3.20, 5 Ac 3.40-3.55
Sn10 0.2500 0.0000 0.2735  2 Dy 3.20, 5 Ac 3.40-3.55

Entry 2:
VASP calculation (PBE) on crystalline AcDy2Sn at its relaxed geometry.

Results
Polymorph energy (0 for the lowest one): 0 meV per atom
Space-group type: P4/mmm (123)

abc: 4.9192 5.0280 5.0280
angles: 90.00 90.00 90.00
Last column: nearest neighbours and their distance in Å.
Fractional coordinates of all 4 atoms:
Ac1 0.5000 0.5000 0.5000  8 Dy 3.52, 4 Sn 3.56
Sn1 0.5000 0.0000 0.0000  8 Dy 3.52, 4 Ac 3.56
Dy1 0.0000 0.0000 0.5000  4 Ac 3.52, 4 Sn 3.52, 4 Dy 3.56
Dy2 0.0000 0.5000 0.0000  4 Ac 3.52, 4 Sn 3.52, 4 Dy 3.56

Entry 3:
VASP calculation (PBE) on crystalline Ac3DySn6 at its relaxed geometry.

Results
Space-group type: R-3c (167)

abc: 8.7082 8.7082 8.7082
angles: 97.26 97.26 97.26
Last column: nearest neighbours and their distance in Å.
Fractional coordinates of all 20 atoms:
Ac1 0.1817 0.7500 0.3183  8 Sn 3.44-3.65
Ac2 0.3183 0.1817 0.7500  8 Sn 3.44-3.65
Ac3 0.2500 0.6817 0.8183  8 Sn 3.44-3.65
Ac4 0.7500 0.3183 0.1817  8 Sn 3.44-3.65
Ac5 0.6817 0.8183 0.2500  8 Sn 3.44-3.65
Ac6 0.8183 0.2500 0.6817  8 Sn 3.44-3.65
Dy1 0.0000 0.0000 0.0000  6 Sn 3.16
Dy2 0.5000 0.5000 0.5000  6 Sn 3.16
Sn1 0.9118 0.6352 0.9863  2 Sn 2.90-2.99, 1 Dy 3.16
Sn2 0.0137 0.0882 0.3648  2 Sn 2.90-2.99, 1 Dy 3.16
Sn3 0.1352 0.4118 0.4864  2 Sn 2.90-2.99, 1 Dy 3.16
Sn4 0.3648 0.0137 0.0882  2 Sn 2.90-2.99, 1 Dy 3.16
Sn5 0.4118 0.4864 0.1352  2 Sn 2.90-2.99, 1 Dy 3.16
Sn6 0.5136 0.8648 0.5882  2 Sn 2.90-2.99, 1 Dy 3.16
Sn7 0.4864 0.1352 0.4118  2 Sn 2.90-2.99, 1 Dy 3.16
Sn8 0.5882 0.5136 0.8648  2 Sn 2.90-2.99, 1 Dy 3.16
Sn9 0.6352 0.9863 0.9118  2 Sn 2.90-2.99, 1 Dy 3.16
Sn10 0.8648 0.5882 0.5136  2 Sn 2.90-2.99, 1 Dy 3.16
Sn11 0.9863 0.9118 0.6352  2 Sn 2.90-2.99, 1 Dy 3.16
Sn12 0.0882 0.3648 0.0137  2 Sn 2.90-2.99, 1 Dy 3.16

Entry 4:
VASP calculation (PBE) on crystalline AcDySn at its relaxed geometry.

Results
Polymorph energy (0 for the lowest one): 174 meV per atom
Space-group type: P3m1 (156)

abc: 4.4993 5.1973 5.1973
angles: 120.00 90.00 90.00
Last column: nearest neighbours and their distance in Å.
Fractional coordinates of all 3 atoms:
Ac1 0.0003 0.0000 0.0000  6 Sn 3.75, 6 Dy 3.75
Sn1 0.4991 0.3333 0.6667  3 Dy 3.00
Dy1 0.5006 0.6667 0.3333  3 Sn 3.00

| no. | raw total energy (eV/atom) | magnetic moment (μB per formula unit) | energy of formation from the pure elements (meV/atom) |
| --- | --- | --- | --- |
| 1 | -4.72 | 0.000 | -617 |
| 2 | -4.66 | 0.000 | -333 |
| 3 | -4.72 | 0.000 | -621 |
| 4 | -4.63 | 0.000 | -395 |